SrCoRh: optimized geometry, GGA-PBEsol.

a b c (Å): 4.4571 4.4571 4.4571
angles (deg): 60.00 60.00 60.00
Last column: nearest neighbours and their distance in Å.
Fractional coordinates of all 3 atoms:
Sr  0.2500  0.2500  0.2500  4 Co 2.73, 4 Rh 2.73
Co  0.0000  0.0000  0.0000  4 Sr 2.73
Rh  0.5000  0.5000  0.5000  4 Sr 2.73

Summary:
Energy relative to the elements: 136.8 kJ/mol of atoms
Fermi-level density of states: 2.98 states/eV per atom
Space group: F-43m
Excess energy over the best structure of this formula in the dataset: 1.292 eV/atom
Total DFT energy (no corrections): -13.5 eV for the cell shown

=====

SrCo3Rh: optimized geometry, GGA-PBEsol.

a b c (Å): 4.5792 4.5792 4.5792
angles (deg): 90.00 90.00 90.00
Last column: nearest neighbours and their distance in Å.
Fractional coordinates of all 5 atoms:
Rh  0.0000  0.0000  0.0000  6 Co 2.29
Co  0.0000  0.5000  0.0000  2 Rh 2.29
Co  0.5000  0.0000  0.0000  2 Rh 2.29
Co  0.0000  0.0000  0.5000  2 Rh 2.29
Sr  0.5000  0.5000  0.5000  12 Co 3.24

Summary:
Energy relative to the elements: 80.7 kJ/mol of atoms
Fermi-level density of states: 1.41 states/eV per atom
Space group: Pm-3m
Total DFT energy (no corrections): -29.0 eV for the cell shown